Below is crystalline RbCd2Bi2 at its relaxed geometry, with properties calculated at the PBE level.

Output
* ΔE_f: -218 meV per atom
* volume: 345.1 Å³/cell
* E_tot: -23.3 eV per cell
* offset from the most stable computed form: 0.0 meV per atom

a b c (Å): 5.3140 5.3140 12.2208
angles (deg): 90.00 90.00 90.00
Closest atoms and distances in Å follow each position.
Fractional coordinates of all 10 atoms:
Cd 0.5000 0.5000 0.0000  4 Bi 3.08
Cd 0.0000 0.0000 0.0000  4 Bi 3.08
Cd 0.5000 0.0000 0.6299  5 Bi 2.97-3.10
Cd 0.0000 0.5000 0.3701  5 Bi 2.97-3.10
Bi 0.0000 0.0000 0.5000  4 Cd 3.10
Bi 0.0000 0.5000 0.1274  5 Cd 2.97-3.08
Bi 0.5000 0.5000 0.5000  4 Cd 3.10
Bi 0.5000 0.0000 0.8726  5 Cd 2.97-3.08
Rb 0.5000 0.0000 0.2486  8 Cd 4.04, 8 Bi 4.04-4.06
Rb 0.0000 0.5000 0.7514  8 Cd 4.04, 8 Bi 4.04-4.06

---

Below is crystalline CePmRu2 at its relaxed geometry, with properties calculated at the PBE level.

Output
* ΔE_f: -284 meV per atom
* volume: 83.6 Å³/cell
* E_tot: -30.4 eV per cell
* offset from the most stable computed form: 0.0 meV per atom

a b c (Å): 3.4571 3.4571 6.9979
angles (deg): 90.00 90.00 90.00
Closest atoms and distances in Å follow each position.
Fractional coordinates of all 4 atoms:
Pm 0.5000 0.5000 0.5000  8 Ru 3.11, 4 Pm 3.46
Ru 0.0000 0.0000 0.2244  4 Ce 2.91, 4 Pm 3.11, 1 Ru 3.14
Ru 0.0000 0.0000 0.7756  4 Ce 2.91, 4 Pm 3.11, 1 Ru 3.14
Ce 0.5000 0.5000 0.0000  8 Ru 2.91

---

Below is crystalline KHgRh2 at its relaxed geometry, with properties calculated at the PBE level.

Output
* ΔE_f: 558 meV per atom
* volume: 211.0 Å³/cell
* E_tot: -27.7 eV per cell

a b c (Å): 4.6308 4.6308 10.3689
angles (deg): 77.10 77.10 90.00
Closest atoms and distances in Å follow each position.
Fractional coordinates of all 8 atoms:
Hg 0.0000 0.0000 0.0000  4 Rh 2.75
Hg 0.7500 0.2500 0.5000  4 Rh 2.75
K 0.5000 0.5000 0.0000  4 Hg 3.27, 4 Rh 3.33
K 0.2500 0.7500 0.5000  4 Hg 3.27, 4 Rh 3.33
Rh 0.9609 0.6250 0.2500  2 Rh 2.45
Rh 0.8750 0.0391 0.7500  2 Rh 2.45
Rh 0.7891 0.1250 0.2500  2 Rh 2.45
Rh 0.3750 0.2109 0.7500  2 Rh 2.45

---

Below is crystalline PmPrPH2 at its relaxed geometry, with properties calculated at the PBE level.

Output
* volume: 179.2 Å³/cell
* E_tot: -52.2 eV per cell

a b c (Å): 3.9552 6.1573 7.7680
angles (deg): 90.00 90.00 108.73
Closest atoms and distances in Å follow each position.
Fractional coordinates of all 10 atoms:
P 0.4490 0.8981 0.7500  4 Pm 2.83
P 0.5510 0.1019 0.2500  4 Pm 2.83
Pm 0.0000 0.0000 0.5000  2 H 2.32
Pm 0.0000 0.0000 0.0000  2 H 2.32
H 0.1938 0.3875 0.9349  1 Pm 2.32, 3 Pr 2.49-2.59, 2 H 2.58
H 0.8062 0.6125 0.4349  1 Pm 2.32, 3 Pr 2.49-2.59, 2 H 2.58
H 0.1938 0.3875 0.5651  1 Pm 2.32, 3 Pr 2.49-2.59, 2 H 2.58
H 0.8062 0.6125 0.0651  1 Pm 2.32, 3 Pr 2.49-2.59, 2 H 2.58
Pr 0.2652 0.5304 0.2500  6 H 2.49-2.59
Pr 0.7348 0.4696 0.7500  6 H 2.49-2.59

---

Below is crystalline CePrGdSc at its relaxed geometry, with properties calculated at the PBE level.

Output
* ΔE_f: 202 meV per atom
* volume: 123.8 Å³/cell
* E_tot: -30.3 eV per cell

a b c (Å): 5.5941 5.5941 5.5941
angles (deg): 60.00 60.00 60.00
Closest atoms and distances in Å follow each position.
Fractional coordinates of all 4 atoms:
Gd 0.5000 0.5000 0.5000  4 Sc 3.43, 4 Ce 3.43
Pr 0.0000 0.0000 0.0000  4 Ce 3.43, 4 Sc 3.43
Ce 0.2500 0.2500 0.2500  4 Gd 3.43, 4 Pr 3.43
Sc 0.7500 0.7500 0.7500  4 Pr 3.43, 4 Gd 3.43

---

Below is crystalline V2PdRhN at its relaxed geometry, with properties calculated at the PBE level.

Output
* volume: 82.1 Å³/cell
* uncorrected formation energy: 1.52 eV per atom
* E_tot: -31.5 eV per cell

a b c (Å): 4.7561 3.6312 4.7561
angles (deg): 90.00 90.00 90.00
Closest atoms and distances in Å follow each position.
Fractional coordinates of all 5 atoms:
Pd 0.0000 0.0000 0.0000  2 N 1.82
N 0.0000 0.5000 0.0000  2 Pd 1.82
V 0.5000 0.0000 0.0000  2 Pd 2.38
V 0.0000 0.0000 0.5000  2 Pd 2.38
Rh 0.5000 0.5000 0.5000  8 V 2.99

---

Below is crystalline Th3MgP4 at its relaxed geometry, with properties calculated at the PBE level.

Output
* ΔE_f: -1288 meV per atom
* volume: 195.7 Å³/cell
* E_tot: -55.8 eV per cell

a b c (Å): 5.8054 5.8054 5.8054
angles (deg): 90.00 90.00 90.00
Closest atoms and distances in Å follow each position.
Fractional coordinates of all 8 atoms:
P 0.0000 0.5000 0.0000  4 Th 2.90, 2 Mg 2.90
P 0.5000 0.5000 0.5000  6 Th 2.90
P 0.5000 0.0000 0.0000  4 Th 2.90, 2 Mg 2.90
P 0.0000 0.0000 0.5000  4 Th 2.90, 2 Mg 2.90
Mg 0.0000 0.0000 0.0000  6 P 2.90
Th 0.0000 0.5000 0.5000  6 P 2.90
Th 0.5000 0.0000 0.5000  6 P 2.90
Th 0.5000 0.5000 0.0000  6 P 2.90

---

Below is crystalline CuReHgO6 at its relaxed geometry, with properties calculated at the PBE level.

Output
* volume: 128.4 Å³/cell
* uncorrected formation energy: -0.87 eV per atom
* E_tot: -54.4 eV per cell

a b c (Å): 5.1983 5.2502 5.2613
angles (deg): 81.24 78.63 66.19
Closest atoms and distances in Å follow each position.
Fractional coordinates of all 9 atoms:
Re 0.2967 0.3482 0.5048  5 O 1.77-1.96
O 0.2807 0.0368 0.7230  1 Re 1.87, 1 Hg 2.08
O 0.1493 0.3495 0.2295  1 Re 1.77
O 0.4431 0.6110 0.2958  1 Cu 1.83, 1 Re 1.94
O 0.9761 0.5955 0.6778  1 Re 1.82, 1 Cu 1.93
O 0.6675 0.0003 0.3410  1 Cu 1.87, 1 Hg 2.04
O 0.5703 0.3768 0.6949  1 Cu 1.83, 1 Re 1.96
Hg 0.9616 0.0187 0.0258  2 O 2.04-2.08
Cu 0.6543 0.6634 0.5073  4 O 1.83-1.93

---

Below is crystalline CsScIr2 at its relaxed geometry, with properties calculated at the PBE level.

Output
* ΔE_f: 833 meV per atom
* volume: 83.2 Å³/cell
* E_tot: -21.6 eV per cell
* offset from the most stable computed form: 324.2 meV per atom

a b c (Å): 4.9008 4.9008 4.9008
angles (deg): 60.00 60.00 60.00
Closest atoms and distances in Å follow each position.
Fractional coordinates of all 4 atoms:
Ir 0.7500 0.7500 0.7500  4 Sc 3.00, 4 Cs 3.00
Ir 0.2500 0.2500 0.2500  4 Sc 3.00, 4 Cs 3.00
Sc 0.0000 0.0000 0.0000  8 Ir 3.00
Cs 0.5000 0.5000 0.5000  8 Ir 3.00

---

Below is crystalline ZrAl2Hg at its relaxed geometry, with properties calculated at the PBE level.

Output
* ΔE_f: -182 meV per atom
* volume: 78.3 Å³/cell
* E_tot: -17.1 eV per cell

a b c (Å): 5.0842 5.0842 3.1589
angles (deg): 90.00 90.00 106.54
Closest atoms and distances in Å follow each position.
Fractional coordinates of all 4 atoms:
Al 0.0000 0.0000 0.0000  4 Zr 2.99, 4 Hg 2.99, 4 Al 3.04-3.16
Al 0.5000 0.5000 0.0000  4 Hg 2.99, 4 Zr 2.99, 4 Al 3.04-3.16
Zr 0.0000 0.5000 0.5000  8 Al 2.99, 2 Hg 3.04, 2 Zr 3.16
Hg 0.5000 0.0000 0.5000  8 Al 2.99, 2 Zr 3.04, 2 Hg 3.16

---

Below is crystalline Tb2NdSe4 at its relaxed geometry, with properties calculated at the PBE level.

Output
* volume: 381.6 Å³/cell
* uncorrected formation energy: -1.87 eV per atom
* E_tot: -82.1 eV per cell
* offset from the most stable computed form: 0.0 meV per atom

a b c (Å): 4.0395 7.0785 13.9255
angles (deg): 90.00 90.00 106.58
Closest atoms and distances in Å follow each position.
Fractional coordinates of all 14 atoms:
Tb 0.1302 0.2605 0.4316  6 Se 2.83-2.93
Tb 0.8698 0.7395 0.9316  6 Se 2.83-2.93
Tb 0.1302 0.2605 0.0684  6 Se 2.83-2.93
Tb 0.8698 0.7395 0.5684  6 Se 2.83-2.93
Se 0.5000 0.0000 0.5000  4 Tb 2.85
Se 0.0365 0.0729 0.2500  2 Tb 2.83, 2 Nd 2.98
Se 0.5000 0.0000 0.0000  4 Tb 2.85
Se 0.2255 0.4509 0.6203  3 Tb 2.90-2.93, 2 Nd 3.03
Se 0.2255 0.4509 0.8797  3 Tb 2.90-2.93, 2 Nd 3.03
Se 0.7745 0.5491 0.3797  3 Tb 2.90-2.93, 2 Nd 3.03
Se 0.9635 0.9271 0.7500  2 Tb 2.83, 2 Nd 2.98
Se 0.7745 0.5491 0.1203  3 Tb 2.90-2.93, 2 Nd 3.03
Nd 0.6249 0.2497 0.7500  6 Se 2.98-3.03
Nd 0.3751 0.7503 0.2500  6 Se 2.98-3.03

---

Below is crystalline CeHoZnTc at its relaxed geometry, with properties calculated at the PBE level.

Output
* ΔE_f: -133 meV per atom
* volume: 85.7 Å³/cell
* E_tot: -22.7 eV per cell

a b c (Å): 4.9488 4.9488 4.9488
angles (deg): 60.00 60.00 60.00
Closest atoms and distances in Å follow each position.
Fractional coordinates of all 4 atoms:
Tc 0.5000 0.5000 0.5000  4 Ho 3.03, 4 Ce 3.03
Ho 0.7500 0.7500 0.7500  4 Zn 3.03, 4 Tc 3.03
Ce 0.2500 0.2500 0.2500  4 Zn 3.03, 4 Tc 3.03
Zn 0.0000 0.0000 0.0000  4 Ce 3.03, 4 Ho 3.03

---

Below is crystalline B5C at its relaxed geometry, with properties calculated at the PBE level.

Output
* ΔE_f: 666 meV per atom
* volume: 82.3 Å³/cell
* E_tot: -77.2 eV per cell
* offset from the most stable computed form: 468.6 meV per atom

a b c (Å): 2.7740 2.7740 12.3562
angles (deg): 90.00 90.00 120.00
Closest atoms and distances in Å follow each position.
Fractional coordinates of all 12 atoms:
B 0.0000 0.0000 0.3225  4 B 1.63-1.69
B 0.0000 0.0000 0.8420  4 B 1.69-1.87
B 0.6667 0.3333 0.3664  4 B 1.69-1.87
B 0.6667 0.3333 0.2154  3 C 1.73, 1 B 1.87
B 0.0000 0.0000 0.9930  3 C 1.73, 1 B 1.87
B 0.3333 0.6667 0.6718  1 B 1.67
B 0.3333 0.6667 0.5365  1 B 1.67
B 0.6667 0.3333 0.7542  1 B 1.63
B 0.6667 0.3333 0.8859  4 B 1.63-1.69
B 0.0000 0.0000 0.4542  1 B 1.63
C 0.3333 0.6667 0.1625  1 C 1.44
C 0.3333 0.6667 0.0458  1 C 1.44

---

Below is crystalline CaNbOF2 at its relaxed geometry, with properties calculated at the PBE level.

Output
* volume: 81.0 Å³/cell
* uncorrected formation energy: -1.60 eV per atom
* E_tot: -28.8 eV per cell
* offset from the most stable computed form: 500.0 meV per atom

a b c (Å): 4.1551 4.1551 4.6931
angles (deg): 90.00 90.00 90.00
Closest atoms and distances in Å follow each position.
Fractional coordinates of all 5 atoms:
Nb 0.5000 0.5000 0.5000  4 O 2.94, 8 F 3.13
F 0.0000 0.5000 0.0000  2 Ca 2.08
F 0.5000 0.0000 0.0000  2 Ca 2.08
O 0.0000 0.0000 0.5000  2 Ca 2.35
Ca 0.0000 0.0000 0.0000  4 F 2.08

---

Below is crystalline AcPrNd5Tm2 at its relaxed geometry, with properties calculated at the PBE level.

Output
* ΔE_f: 146 meV per atom
* volume: 654.1 Å³/cell
* E_tot: -80.7 eV per cell

a b c (Å): 5.6279 12.4228 9.6059
angles (deg): 90.00 90.00 103.09
Closest atoms and distances in Å follow each position.
Fractional coordinates of all 18 atoms:
Tm 0.1118 0.2237 0.2954  9 Nd 3.41-3.80
Tm 0.1727 0.3453 0.6672  6 Nd 3.44-3.72, 3 Pr 3.80-3.85
Tm 0.8882 0.7763 0.7954  9 Nd 3.41-3.80
Tm 0.8273 0.6547 0.1672  6 Nd 3.44-3.72, 3 Pr 3.80-3.85
Pr 0.7673 0.5346 0.5322  4 Nd 3.15-3.51
Pr 0.2327 0.4654 0.0322  4 Nd 3.15-3.51
Ac 0.3973 0.7946 0.4240  5 Nd 3.41-3.75
Ac 0.6027 0.2054 0.9240  5 Nd 3.41-3.75
Nd 0.6040 0.2080 0.5338  4 Nd 3.30-3.66, 4 Tm 3.51-3.63
Nd 0.3960 0.7920 0.0338  4 Nd 3.30-3.66, 4 Tm 3.51-3.63
Nd 0.9930 0.9860 0.0364  2 Tm 3.44-3.80, 4 Nd 3.59-3.66
Nd 0.3129 0.6258 0.7283  3 Tm 3.41-3.44, 3 Pr 3.51-3.56, 3 Nd 3.52-3.56, 1 Ac 3.57
Nd 0.5253 0.0505 0.2536  3 Nd 3.30-3.59, 2 Ac 3.50-3.68, 2 Tm 3.53
Nd 0.6871 0.3742 0.2283  3 Tm 3.41-3.44, 3 Pr 3.51-3.56, 3 Nd 3.52-3.56, 1 Ac 3.57
Nd 0.2594 0.5187 0.3532  3 Pr 3.15-3.30, 1 Ac 3.41, 2 Nd 3.52
Nd 0.4747 0.9495 0.7536  3 Nd 3.30-3.59, 2 Ac 3.50-3.68, 2 Tm 3.53
Nd 0.0070 0.0140 0.5364  2 Tm 3.44-3.80, 4 Nd 3.59-3.66
Nd 0.7406 0.4813 0.8532  3 Pr 3.15-3.30, 1 Ac 3.41, 2 Nd 3.52

---

Below is crystalline Mg3CrBr8 at its relaxed geometry, with properties calculated at the PBE level.

Output
* volume: 366.8 Å³/cell
* uncorrected formation energy: -1.26 eV per atom
* E_tot: -42.9 eV per cell

a b c (Å): 7.7401 7.7358 8.3979
angles (deg): 117.81 90.00 120.02
Closest atoms and distances in Å follow each position.
Fractional coordinates of all 12 atoms:
Br 0.2370 0.4740 0.2118  1 Cr 2.68, 2 Mg 2.70
Br 0.7627 0.0227 0.7881  1 Cr 2.68, 2 Mg 2.69-2.70
Br 0.7390 0.4780 0.2139  3 Mg 2.70
Br 0.2601 0.0227 0.7881  1 Cr 2.68, 2 Mg 2.69-2.70
Br 0.7630 0.5260 0.7882  1 Cr 2.68, 2 Mg 2.70
Br 0.2373 0.9773 0.2119  1 Cr 2.68, 2 Mg 2.69-2.70
Br 0.7399 0.9773 0.2119  1 Cr 2.68, 2 Mg 2.69-2.70
Br 0.2610 0.5220 0.7861  3 Mg 2.70
Mg 0.5000 0.0000 0.0000  6 Br 2.70
Mg 0.5000 0.5000 0.0000  6 Br 2.69-2.70
Mg 0.0000 0.5000 0.0000  6 Br 2.69-2.70
Cr 0.0000 0.0000 0.0000  6 Br 2.68

---

Below is crystalline Ac8GeAs3Se4 at its relaxed geometry, with properties calculated at the PBE level.

Output
* volume: 525.0 Å³/cell
* uncorrected formation energy: -1.66 eV per atom
* E_tot: -91.9 eV per cell

a b c (Å): 9.0608 9.0495 9.0606
angles (deg): 120.04 120.00 90.00
Closest atoms and distances in Å follow each position.
Fractional coordinates of all 16 atoms:
As 0.5000 0.5000 0.5000  6 Ac 3.16-3.17
As 0.5000 0.5000 0.0000  6 Ac 3.16-3.17
As 0.0000 0.5000 0.5000  6 Ac 3.16-3.17
Ge 0.0000 0.5000 0.0000  6 Ac 3.15
Ac 0.7487 0.7399 0.9943  1 Ge 3.15, 2 As 3.17, 3 Se 3.24-3.26
Ac 0.7468 0.7403 0.4935  3 As 3.16, 3 Se 3.24
Ac 0.7544 0.2601 0.0057  1 Ge 3.15, 2 As 3.17, 3 Se 3.24-3.26
Ac 0.7544 0.2601 0.5087  1 Ge 3.15, 2 As 3.17, 3 Se 3.24-3.26
Ac 0.2456 0.7399 0.4913  1 Ge 3.15, 2 As 3.17, 3 Se 3.24-3.26
Ac 0.2532 0.2597 0.5065  3 As 3.16, 3 Se 3.24
Ac 0.2513 0.2601 0.0057  1 Ge 3.15, 2 As 3.17, 3 Se 3.24-3.26
Ac 0.2456 0.7399 0.9943  1 Ge 3.15, 2 As 3.17, 3 Se 3.24-3.26
Se 0.5000 0.0000 0.5000  6 Ac 3.24
Se 0.0000 0.0000 0.5000  6 Ac 3.24
Se 0.5000 0.0000 0.0000  6 Ac 3.26
Se 0.0000 0.0000 0.0000  6 Ac 3.24

---

Below is crystalline La2TmH at its relaxed geometry, with properties calculated at the PBE level.

Output
* volume: 103.9 Å³/cell
* E_tot: -17.4 eV per cell
* offset from the most stable computed form: 220.5 meV per atom

a b c (Å): 3.4762 3.4762 8.5991
angles (deg): 90.00 90.00 90.00
Closest atoms and distances in Å follow each position.
Fractional coordinates of all 4 atoms:
La 0.0000 0.0000 0.8170  4 H 2.92, 1 La 3.15
La 0.0000 0.0000 0.1830  4 H 2.92, 1 La 3.15
Tm 0.5000 0.5000 0.5000  4 Tm 3.48, 8 La 3.67
H 0.5000 0.5000 0.0000  8 La 2.92

---

Below is crystalline Y5Cd at its relaxed geometry, with properties calculated at the PBE level.

Output
* ΔE_f: 240 meV per atom
* volume: 190.6 Å³/cell
* E_tot: -31.8 eV per cell
* offset from the most stable computed form: 337.6 meV per atom

a b c (Å): 6.4602 6.4602 6.4602
angles (deg): 60.00 60.00 60.00
Closest atoms and distances in Å follow each position.
Fractional coordinates of all 6 atoms:
Y 0.7500 0.7500 0.7500  12 Y 3.79, 4 Cd 3.96
Y 0.3755 0.3755 0.3755  6 Y 3.22-3.24
Y 0.3755 0.8736 0.3755  6 Y 3.22-3.24
Y 0.8736 0.3755 0.3755  6 Y 3.22-3.24
Y 0.3755 0.3755 0.8736  6 Y 3.22-3.24
Cd 0.0000 0.0000 0.0000  16 Y 3.79-3.96

---

Below is crystalline CaCu2Se at its relaxed geometry, with properties calculated at the PBE level.

Output
* volume: 90.4 Å³/cell
* uncorrected formation energy: -0.39 eV per atom
* E_tot: -15.3 eV per cell

a b c (Å): 5.9017 5.9017 4.2452
angles (deg): 101.45 101.45 38.69
Closest atoms and distances in Å follow each position.
Fractional coordinates of all 4 atoms:
Cu 0.9559 0.9559 0.0903  1 Se 2.44, 2 Cu 2.46
Cu 0.5441 0.5441 0.4097  1 Se 2.44, 2 Cu 2.46
Se 0.7500 0.7500 0.7500  2 Cu 2.44
Ca 0.2500 0.2500 0.2500  4 Se 2.89, 6 Cu 3.19-3.20